# 1
Here is a geometry-optimized Sm2DyCo structure from Alexandria via LeMat-Bulk. Energies are from PBE-GGA.

a b c (Å): 9.3755 9.3755 9.3755
angles (deg): 23.39 23.39 23.39
With the nearest neighbours (Å) after each atom.
Atoms (fractional coordinates):
Sm (0.0000, 0.0000, 0.0000)  3 Co 2.71
Sm (0.2173, 0.2173, 0.2173)  3 Co 2.70
Dy (0.4430, 0.4430, 0.4430)  6 Sm 3.67-3.72, 6 Dy 3.80
Co (0.6084, 0.6084, 0.6084)  6 Sm 2.70-2.71

## Properties
Magnetization, μB per formula unit: 0.196
DFT formation energy, eV/atom: 0.053
Crystal system: trigonal
Energy above the most stable polymorph in this dataset, meV/atom: 167
Symmetry: R3m (160)



# 2
Here is a geometry-optimized Sm2DyCo structure from Alexandria via LeMat-Bulk. Energies are from PBE-GGA.

a b c (Å): 3.4851 3.4851 8.8472
angles (deg): 90.00 90.00 90.00
With the nearest neighbours (Å) after each atom.
Atoms (fractional coordinates):
Sm (0.0000, 0.0000, 0.1877)  4 Co 2.97, 1 Sm 3.32
Sm (0.0000, 0.0000, 0.8123)  4 Co 2.97, 1 Sm 3.32
Dy (0.5000, 0.5000, 0.5000)  4 Dy 3.49, 8 Sm 3.70
Co (0.5000, 0.5000, 0.0000)  8 Sm 2.97

## Properties
Magnetization, μB per formula unit: 1.352
DFT formation energy, eV/atom: 0.036
Crystal system: tetragonal
Energy above the most stable polymorph in this dataset, meV/atom: 150
Symmetry: P4/mmm (123)